# 1
The following is a DFT calculation (PBE) of As2AuC after structural relaxation.

```
As2AuC
1.0
-2.742 2.742 4.847
2.742 -2.742 4.847
2.742 2.742 -4.847
As Au C
4 2 2
direct
0.055 0.625 0.930
0.375 0.305 0.430
0.695 0.125 0.070
0.875 0.945 0.570
0.250 0.750 0.500
0.500 0.500 0.000
0.000 0.000 0.000
0.750 0.250 0.500
```

## Properties
Its volume is 146 Å³ per cell. The theoretical density is 8.2 Mg/m³. For the calculated formation energy, the calculation gives 0.618 eV/atom.

# 2
The following is a DFT calculation (PBE) of AsAuC after structural relaxation.

```
AsAuC
1.0
1.573 0.908 5.429
-1.573 0.908 5.429
0.000 -1.817 5.429
As Au C
1 1 1
direct
0.000 0.000 0.000
0.848 0.848 0.848
0.718 0.718 0.718
```

## Properties
Its volume is 47 Å³ per cell. For the offset from the most stable computed form, the calculation gives 0 meV per atom. The theoretical density is 10.1 Mg/m³. For the calculated formation energy, the calculation gives 0.512 eV/atom.

# 3
The following is a DFT calculation (PBE) of As3AuC after structural relaxation.

```
As3AuC
1.0
4.379 0.000 0.000
0.000 4.379 0.000
0.000 0.000 4.379
As Au C
3 1 1
direct
0.000 0.000 0.500
0.000 0.500 0.000
0.500 0.000 0.000
0.500 0.500 0.500
0.000 0.000 0.000
```

## Properties
Its volume is 84 Å³ per cell. For the offset from the most stable computed form, the calculation gives 0 meV per atom. The theoretical density is 8.6 Mg/m³. For the calculated formation energy, the calculation gives 1.033 eV/atom.

# 4
The following is a DFT calculation (PBE) of AsAuC after structural relaxation.

```
AsAuC
1.0
3.285 -1.899 0.000
3.285 1.899 0.000
-2.172 0.000 4.010
As Au C
1 1 1
direct
0.000 0.000 0.000
0.443 0.443 0.330
0.844 0.844 0.533
```

## Properties
Its volume is 50 Å³ per cell. For the offset from the most stable computed form, the calculation gives 623 meV per atom. The theoretical density is 9.4 Mg/m³. For the calculated formation energy, the calculation gives 1.136 eV/atom.

# 5
The following is a DFT calculation (PBE) of AsAuC after structural relaxation.

```
AsAuC
1.0
3.680 0.000 0.000
0.000 1.573 4.129
0.000 -1.573 4.129
As Au C
1 1 1
direct
0.000 0.000 0.000
0.500 0.795 0.795
0.000 0.639 0.639
```

## Properties
Its volume is 48 Å³ per cell. For the offset from the most stable computed form, the calculation gives 211 meV per atom. The theoretical density is 9.9 Mg/m³. For the calculated formation energy, the calculation gives 0.723 eV/atom.

# 6
The following is a DFT calculation (PBE) of AsAuC after structural relaxation.

```
AsAuC
1.0
3.065 0.000 0.000
-0.404 4.600 0.000
-1.146 -1.363 4.489
As Au C
1 1 1
direct
0.000 0.000 0.000
0.218 0.444 0.437
0.405 0.811 0.807
```

## Properties
Its volume is 63 Å³ per cell. For the offset from the most stable computed form, the calculation gives 284 meV per atom. The theoretical density is 7.4 Mg/m³. For the calculated formation energy, the calculation gives 0.796 eV/atom.